# 1
# MnOsW2 PBE optimized geometry
# **Formation enthalpy at 0 K**: 0.1931 eV/atom
# **Calculated volume**: 14.71 Å³/atom
# **E_tot**: -91.07 eV per cell
# **Polymorph energy (0 for the lowest one)**: 85.9 meV per atom
data_MnOsW2
_chemical_formula_sum 'Mn2 Os2 W4'
_symmetry_space_group_name_H-M 'I -4 m 2'
_symmetry_Int_Tables_number 119
_symmetry_space_group_name_Hall 'I -4 -2'
_cell_length_a 3.845
_cell_length_b 3.845
_cell_length_c 7.958
_cell_angle_alpha 90.00
_cell_angle_beta 90.00
_cell_angle_gamma 90.00
loop_
_atom_site_label
_atom_site_type_symbol
_atom_site_fract_x
_atom_site_fract_y
_atom_site_fract_z
Mn1 Mn 0.000 0.000 0.000
Os1 Os 0.000 0.500 0.750
W1 W 0.000 0.000 0.500
W2 W 0.000 0.500 0.250

---

# 2
# Dy3Si2Pt PBE optimized geometry
# **Calculated volume**: 22.88 Å³/atom
# **E_tot**: -145.01 eV per cell
# **Formation energy (no corrections)**: -0.9266 eV per atom
data_Dy3Si2Pt
_chemical_formula_sum 'Dy12 Si8 Pt4'
_symmetry_space_group_name_H-M 'P n m a'
_symmetry_Int_Tables_number 62
_cell_length_a 11.434
_cell_length_b 4.226
_cell_length_c 11.365
_cell_angle_alpha 90.00
_cell_angle_beta 90.00
_cell_angle_gamma 90.00
loop_
_symmetry_equiv_pos_as_xyz
'x,y,z'
'-x,-y,-z'
'-x+1/2,-y,z+1/2'
'x+1/2,y,-z+1/2'
'x+1/2,-y+1/2,-z+1/2'
'-x+1/2,y+1/2,z+1/2'
'-x,y+1/2,-z'
'x,-y+1/2,z'
loop_
_atom_site_label
_atom_site_type_symbol
_atom_site_fract_x
_atom_site_fract_y
_atom_site_fract_z
Dy1 Dy 0.057 0.250 0.123
Dy2 Dy 0.120 0.750 0.561
Dy3 Dy 0.210 0.250 0.808
Si1 Si 0.020 0.750 0.309
Si2 Si 0.191 0.750 0.000
Pt1 Pt 0.130 0.250 0.367

---

# 3
# KMn2SnCl PBE optimized geometry
# **Calculated volume**: 36.82 Å³/atom
# **E_tot**: -17.04 eV per cell
# **Formation energy (no corrections)**: 1.6491 eV per atom
data_KMn2SnCl
_chemical_formula_sum 'K1 Mn2 Sn1 Cl1'
_symmetry_space_group_name_H-M 'P 4/m m m'
_symmetry_Int_Tables_number 123
_symmetry_space_group_name_Hall '-P 4 2'
_cell_length_a 5.330
_cell_length_b 5.330
_cell_length_c 6.481
_cell_angle_alpha 90.00
_cell_angle_beta 90.00
_cell_angle_gamma 90.00
loop_
_atom_site_label
_atom_site_type_symbol
_atom_site_fract_x
_atom_site_fract_y
_atom_site_fract_z
K1 K 0.000 0.000 0.000
Mn1 Mn 0.000 0.500 0.000
Sn1 Sn 0.000 0.000 0.500
Cl1 Cl 0.500 0.500 0.500

---

# 4
# NdDyBi PBE optimized geometry
# **Formation enthalpy at 0 K**: -0.2947 eV/atom
# **Calculated volume**: 32.64 Å³/atom
# **E_tot**: -14.14 eV per cell
data_NdDyBi
_chemical_formula_sum 'Nd1 Dy1 Bi1'
_symmetry_space_group_name_H-M 'P 3 m 1'
_symmetry_Int_Tables_number 156
_cell_length_a 5.2478
_cell_length_b 5.2478
_cell_length_c 4.1061
_cell_angle_alpha 90.00
_cell_angle_beta 90.00
_cell_angle_gamma 120.00
loop_
_symmetry_equiv_pos_as_xyz
'x,y,z'
'-y,x-y,z'
'-x+y,-x,z'
'-y,-x,z'
'-x+y,y,z'
'x,x-y,z'
loop_
_atom_site_label
_atom_site_type_symbol
_atom_site_fract_x
_atom_site_fract_y
_atom_site_fract_z
Nd1 Nd 0.0000 0.0000 0.0000
Dy1 Dy 0.3333 0.6667 0.5268
Bi1 Bi 0.6667 0.3333 0.3645

---

# 5
# TcGeP2O PBE optimized geometry
# **Calculated volume**: 17.08 Å³/atom
# **E_tot**: -30.77 eV per cell
# **Formation energy (no corrections)**: -0.0021 eV per atom
data_TcGeP2O
_chemical_formula_sum 'Tc1 Ge1 P2 O1'
_symmetry_space_group_name_H-M 'P 4/m m m'
_symmetry_Int_Tables_number 123
_symmetry_space_group_name_Hall '-P 4 2'
_cell_length_a 4.810
_cell_length_b 4.810
_cell_length_c 3.691
_cell_angle_alpha 90.00
_cell_angle_beta 90.00
_cell_angle_gamma 90.00
loop_
_atom_site_label
_atom_site_type_symbol
_atom_site_fract_x
_atom_site_fract_y
_atom_site_fract_z
Tc1 Tc 0.000 0.000 0.000
Ge1 Ge 0.500 0.500 0.500
P1 P 0.000 0.500 0.000
O1 O 0.000 0.000 0.500

---

# 6
# KCd7Au5 PBE optimized geometry
# **Formation enthalpy at 0 K**: -0.1780 eV/atom
# **Calculated volume**: 21.88 Å³/atom
# **E_tot**: -52.41 eV per cell
data_KCd7Au5
_chemical_formula_sum 'K2 Cd14 Au10'
_symmetry_space_group_name_H-M 'I m m 2'
_symmetry_Int_Tables_number 44
_cell_length_a 5.632
_cell_length_b 10.091
_cell_length_c 10.008
_cell_angle_alpha 90.00
_cell_angle_beta 90.00
_cell_angle_gamma 90.00
loop_
_symmetry_equiv_pos_as_xyz
'x,y,z'
'-x,-y,z'
'-x,y,z'
'x,-y,z'
'x+1/2,y+1/2,z+1/2'
'-x+1/2,-y+1/2,z+1/2'
'-x+1/2,y+1/2,z+1/2'
'x+1/2,-y+1/2,z+1/2'
loop_
_atom_site_label
_atom_site_type_symbol
_atom_site_fract_x
_atom_site_fract_y
_atom_site_fract_z
K1 K 0.000 0.000 0.000
Cd1 Cd 0.000 0.000 0.342
Cd2 Cd 0.000 0.000 0.640
Cd3 Cd 0.000 0.293 0.501
Cd4 Cd 0.000 0.352 0.992
Cd5 Cd 0.000 0.500 0.271
Au1 Au 0.000 0.500 0.713
Au2 Au 0.250 0.248 0.749

---

# 7
# RbNaTiTe3 PBE optimized geometry
# **Calculated volume**: 39.34 Å³/atom
# **E_tot**: -98.34 eV per cell
# **Formation energy (no corrections)**: -0.8296 eV per atom
data_RbNaTiTe3
_chemical_formula_sum 'Rb4 Na4 Ti4 Te12'
_symmetry_space_group_name_H-M 'C m c m'
_symmetry_Int_Tables_number 63
_symmetry_space_group_name_Hall '-C 2c 2'
_cell_length_a 8.162
_cell_length_b 15.269
_cell_length_c 7.575
_cell_angle_alpha 90.00
_cell_angle_beta 90.00
_cell_angle_gamma 90.00
loop_
_atom_site_label
_atom_site_type_symbol
_atom_site_fract_x
_atom_site_fract_y
_atom_site_fract_z
Rb1 Rb 0.000 0.213 0.250
Na1 Na 0.000 0.425 0.750
Ti1 Ti 0.000 0.057 0.750
Te1 Te 0.000 0.225 0.750
Te2 Te 0.224 0.000 0.000

---

# 8
# PrTmGe2Pd5 PBE optimized geometry
# **Formation enthalpy at 0 K**: -0.7649 eV/atom
# **Calculated volume**: 18.57 Å³/atom
# **E_tot**: -51.33 eV per cell
data_PrTmGe2Pd5
_chemical_formula_sum 'Pr1 Tm1 Ge2 Pd5'
_symmetry_space_group_name_H-M 'P 4/m m m'
_symmetry_Int_Tables_number 123
_symmetry_space_group_name_Hall '-P 4 2'
_cell_length_a 4.283
_cell_length_b 4.283
_cell_length_c 9.109
_cell_angle_alpha 90.00
_cell_angle_beta 90.00
_cell_angle_gamma 90.00
loop_
_atom_site_label
_atom_site_type_symbol
_atom_site_fract_x
_atom_site_fract_y
_atom_site_fract_z
Pr1 Pr 0.000 0.000 0.000
Tm1 Tm 0.000 0.000 0.500
Ge1 Ge 0.500 0.500 0.367
Pd1 Pd 0.000 0.500 0.232
Pd2 Pd 0.500 0.500 0.000

---

# 9
# BaCuF4 PBE optimized geometry
# **Calculated volume**: 15.17 Å³/atom
# **E_tot**: -119.10 eV per cell
# **Formation energy (no corrections)**: -2.7120 eV per atom
data_BaCuF4
_chemical_formula_sum 'Ba4 Cu4 F16'
_symmetry_space_group_name_H-M 'C m c 21'
_symmetry_Int_Tables_number 36
_cell_length_a 4.360
_cell_length_b 14.493
_cell_length_c 5.762
_cell_angle_alpha 90.00
_cell_angle_beta 90.00
_cell_angle_gamma 90.00
loop_
_symmetry_equiv_pos_as_xyz
'x,y,z'
'-x,-y,z+1/2'
'-x,y,z'
'x,-y,z+1/2'
'x+1/2,y+1/2,z'
'-x+1/2,-y+1/2,z+1/2'
'-x+1/2,y+1/2,z'
'x+1/2,-y+1/2,z+1/2'
loop_
_atom_site_label
_atom_site_type_symbol
_atom_site_fract_x
_atom_site_fract_y
_atom_site_fract_z
Ba1 Ba 0.000 0.142 0.000
Cu1 Cu 0.000 0.411 0.034
F1 F 0.000 0.079 0.538
F2 F 0.000 0.302 0.240
F3 F 0.000 0.330 0.759
F4 F 0.000 0.477 0.344

---

# 10
# Pr2PuMnN5 PBE optimized geometry
# **Calculated volume**: 14.41 Å³/atom
# **E_tot**: -332.79 eV per cell
# **Formation energy (no corrections)**: -0.9455 eV per atom
data_Pr2PuMnN5
_chemical_formula_sum 'Pr8 Pu4 Mn4 N20'
_symmetry_space_group_name_H-M 'C m c 21'
_symmetry_Int_Tables_number 36
_cell_length_a 3.512
_cell_length_b 13.825
_cell_length_c 10.680
_cell_angle_alpha 90.00
_cell_angle_beta 90.00
_cell_angle_gamma 90.00
loop_
_symmetry_equiv_pos_as_xyz
'x,y,z'
'-x,-y,z+1/2'
'-x,y,z'
'x,-y,z+1/2'
'x+1/2,y+1/2,z'
'-x+1/2,-y+1/2,z+1/2'
'-x+1/2,y+1/2,z'
'x+1/2,-y+1/2,z+1/2'
loop_
_atom_site_label
_atom_site_type_symbol
_atom_site_fract_x
_atom_site_fract_y
_atom_site_fract_z
Pr1 Pr 0.000 0.105 0.000
Pr2 Pr 0.000 0.139 0.655
Pu1 Pu 0.000 0.196 0.356
Mn1 Mn 0.000 0.462 0.753
N1 N 0.000 0.031 0.322
N2 N 0.000 0.287 0.987
N3 N 0.000 0.330 0.719
N4 N 0.000 0.349 0.333
N5 N 0.000 0.488 0.100

---

# 11
# V6Re5Os PBE optimized geometry
# **Formation enthalpy at 0 K**: -0.3461 eV/atom
# **Calculated volume**: 14.01 Å³/atom
# **E_tot**: -264.67 eV per cell
data_V6Re5Os
_chemical_formula_sum 'V12 Re10 Os2'
_symmetry_space_group_name_H-M 'I m m m'
_symmetry_Int_Tables_number 71
_symmetry_space_group_name_Hall '-I 2 2'
_cell_length_a 4.300
_cell_length_b 6.077
_cell_length_c 12.866
_cell_angle_alpha 90.00
_cell_angle_beta 90.00
_cell_angle_gamma 90.00
loop_
_atom_site_label
_atom_site_type_symbol
_atom_site_fract_x
_atom_site_fract_y
_atom_site_fract_z
V1 V 0.000 0.248 0.000
V2 V 0.000 0.251 0.333
Re1 Re 0.000 0.000 0.167
Re2 Re 0.000 0.500 0.166
Re3 Re 0.000 0.500 0.500
Os1 Os 0.000 0.000 0.500

---

# 12
# YSi2 PBE optimized geometry
# **Calculated volume**: 20.93 Å³/atom
# **E_tot**: -36.78 eV per cell
# **Formation energy (no corrections)**: -0.3596 eV per atom
data_YSi2
_chemical_formula_sum 'Y2 Si4'
_symmetry_space_group_name_H-M 'C 1 2/m 1'
_symmetry_Int_Tables_number 12
_cell_length_a 5.652
_cell_length_b 5.847
_cell_length_c 4.094
_cell_angle_alpha 90.00
_cell_angle_beta 111.87
_cell_angle_gamma 90.00
loop_
_symmetry_equiv_pos_as_xyz
'x,y,z'
'-x,-y,-z'
'-x,y,-z'
'x,-y,z'
'x+1/2,y+1/2,z'
'-x+1/2,-y+1/2,-z'
'-x+1/2,y+1/2,-z'
'x+1/2,-y+1/2,z'
loop_
_atom_site_label
_atom_site_type_symbol
_atom_site_fract_x
_atom_site_fract_y
_atom_site_fract_z
Y1 Y 0.000 0.000 0.000
Si1 Si 0.108 0.500 0.299

---

# 13
# CoIrSe4 PBE optimized geometry
# **Calculated volume**: 20.05 Å³/atom
# **E_tot**: -121.53 eV per cell
# **Formation energy (no corrections)**: -0.0798 eV per atom
# **Polymorph energy (0 for the lowest one)**: 0.0 meV per atom
data_CoIrSe4
_chemical_formula_sum 'Co4 Ir4 Se16'
_symmetry_space_group_name_H-M 'I 41 m d'
_symmetry_Int_Tables_number 109
_symmetry_space_group_name_Hall 'I 4bw -2'
_cell_length_a 7.945
_cell_length_b 7.945
_cell_length_c 7.625
_cell_angle_alpha 90.00
_cell_angle_beta 90.00
_cell_angle_gamma 90.00
loop_
_atom_site_label
_atom_site_type_symbol
_atom_site_fract_x
_atom_site_fract_y
_atom_site_fract_z
Co1 Co 0.000 0.000 0.000
Ir1 Ir 0.000 0.000 0.505
Se1 Se 0.000 0.306 0.012
Se2 Se 0.000 0.310 0.495

---

# 14
# Pr6In2Hg PBE optimized geometry
# **Formation enthalpy at 0 K**: -0.3013 eV/atom
# **Calculated volume**: 31.79 Å³/atom
# **E_tot**: -74.33 eV per cell
data_Pr6In2Hg
_chemical_formula_sum 'Pr12 In4 Hg2'
_symmetry_space_group_name_H-M 'P 42/m n m'
_symmetry_Int_Tables_number 136
_symmetry_space_group_name_Hall '-P 4n 2n'
_cell_length_a 10.457
_cell_length_b 10.457
_cell_length_c 5.234
_cell_angle_alpha 90.00
_cell_angle_beta 90.00
_cell_angle_gamma 90.00
loop_
_atom_site_label
_atom_site_type_symbol
_atom_site_fract_x
_atom_site_fract_y
_atom_site_fract_z
Pr1 Pr 0.017 0.320 0.000
Pr2 Pr 0.131 0.869 0.500
In1 In 0.196 0.196 0.500
Hg1 Hg 0.000 0.000 0.000

---

# 15
# NaPr2Al PBE optimized geometry
# **Formation enthalpy at 0 K**: -0.0894 eV/atom
# **Calculated volume**: 31.07 Å³/atom
# **E_tot**: -14.98 eV per cell
# **Polymorph energy (0 for the lowest one)**: 0.0 meV per atom
data_NaPr2Al
_chemical_formula_sum 'Na1 Pr2 Al1'
_symmetry_space_group_name_H-M 'P 4/m m m'
_symmetry_Int_Tables_number 123
_symmetry_space_group_name_Hall '-P 4 2'
_cell_length_a 3.624
_cell_length_b 3.624
_cell_length_c 9.465
_cell_angle_alpha 90.00
_cell_angle_beta 90.00
_cell_angle_gamma 90.00
loop_
_atom_site_label
_atom_site_type_symbol
_atom_site_fract_x
_atom_site_fract_y
_atom_site_fract_z
Na1 Na 0.000 0.000 0.000
Pr1 Pr 0.500 0.500 0.295
Al1 Al 0.000 0.000 0.500

---

# 16
# HoMn3I9 PBE optimized geometry
# **Calculated volume**: 46.60 Å³/atom
# **E_tot**: -218.90 eV per cell
# **Formation energy (no corrections)**: -0.6683 eV per atom
data_HoMn3I9
_chemical_formula_sum 'Ho4 Mn12 I36'
_symmetry_space_group_name_H-M 'C 1 c 1'
_symmetry_Int_Tables_number 9
_cell_length_a 20.326
_cell_length_b 10.393
_cell_length_c 14.639
_cell_angle_alpha 90.00
_cell_angle_beta 128.40
_cell_angle_gamma 90.00
loop_
_symmetry_equiv_pos_as_xyz
'x,y,z'
'x,-y,z+1/2'
'x+1/2,y+1/2,z'
'x+1/2,-y+1/2,z+1/2'
loop_
_atom_site_label
_atom_site_type_symbol
_atom_site_fract_x
_atom_site_fract_y
_atom_site_fract_z
Ho1 Ho 0.000 0.226 0.000
Mn1 Mn 0.139 0.429 0.834
Mn2 Mn 0.270 0.065 0.787
Mn3 Mn 0.364 0.379 0.675
I1 I 0.008 0.313 0.807
I2 I 0.101 0.463 0.137
I3 I 0.141 0.033 0.077
I4 I 0.200 0.368 0.482
I5 I 0.256 0.241 0.913
I6 I 0.349 0.128 0.446
I7 I 0.362 0.447 0.310
I8 I 0.392 0.148 0.780
I9 I 0.498 0.416 0.681

---

# 17
# TbScPt2 PBE optimized geometry
# **Formation enthalpy at 0 K**: -1.1758 eV/atom
# **Calculated volume**: 19.92 Å³/atom
# **E_tot**: -110.99 eV per cell
# **Polymorph energy (0 for the lowest one)**: 37.9 meV per atom
data_TbScPt2
_chemical_formula_sum 'Tb4 Sc4 Pt8'
_symmetry_space_group_name_H-M 'F m -3 m'
_symmetry_Int_Tables_number 225
_symmetry_space_group_name_Hall '-F 4 2 3'
_cell_length_a 6.831
_cell_length_b 6.831
_cell_length_c 6.831
_cell_angle_alpha 90.00
_cell_angle_beta 90.00
_cell_angle_gamma 90.00
loop_
_atom_site_label
_atom_site_type_symbol
_atom_site_fract_x
_atom_site_fract_y
_atom_site_fract_z
Tb1 Tb 0.000 0.000 0.000
Sc1 Sc 0.000 0.000 0.500
Pt1 Pt 0.250 0.250 0.250

---

# 18
# Co2AsH PBE optimized geometry
# **Calculated volume**: 10.03 Å³/atom
# **E_tot**: -85.34 eV per cell
# **Polymorph energy (0 for the lowest one)**: 133.7 meV per atom
data_Co2AsH
_chemical_formula_sum 'Co8 As4 H4'
_symmetry_space_group_name_H-M 'F m -3 m'
_symmetry_Int_Tables_number 225
_symmetry_space_group_name_Hall '-F 4 2 3'
_cell_length_a 5.434
_cell_length_b 5.434
_cell_length_c 5.434
_cell_angle_alpha 90.00
_cell_angle_beta 90.00
_cell_angle_gamma 90.00
loop_
_atom_site_label
_atom_site_type_symbol
_atom_site_fract_x
_atom_site_fract_y
_atom_site_fract_z
Co1 Co 0.250 0.250 0.250
As1 As 0.000 0.000 0.000
H1 H 0.000 0.000 0.500

---

# 19
# Nd2Mg2Pt15 PBE optimized geometry
# **Formation enthalpy at 0 K**: -0.6072 eV/atom
# **Calculated volume**: 17.86 Å³/atom
# **E_tot**: -344.62 eV per cell
data_Nd2Mg2Pt15
_chemical_formula_sum 'Nd6 Mg6 Pt45'
_symmetry_space_group_name_H-M 'R -3 m'
_symmetry_Int_Tables_number 166
_symmetry_space_group_name_Hall '-R 3 2"'
_cell_length_a 9.2808
_cell_length_b 9.2808
_cell_length_c 13.6457
_cell_angle_alpha 90.00
_cell_angle_beta 90.00
_cell_angle_gamma 120.00
loop_
_atom_site_label
_atom_site_type_symbol
_atom_site_fract_x
_atom_site_fract_y
_atom_site_fract_z
Nd1 Nd 0.0000 0.0000 0.1494
Mg1 Mg 0.0000 0.0000 0.3987
Pt1 Pt 0.0000 0.3106 0.5000
Pt2 Pt 0.0000 0.5000 0.0000
Pt3 Pt 0.0007 0.5003 0.6569

---

# 20
# Sr2LiCr PBE optimized geometry
# **Formation enthalpy at 0 K**: 0.4150 eV/atom
# **Calculated volume**: 34.45 Å³/atom
# **E_tot**: -26.48 eV per cell
# **Polymorph energy (0 for the lowest one)**: 26.7 meV per atom
data_Sr2LiCr
_chemical_formula_sum 'Sr4 Li2 Cr2'
_symmetry_space_group_name_H-M 'C 1 m 1'
_symmetry_Int_Tables_number 8
_cell_length_a 13.118
_cell_length_b 4.082
_cell_length_c 5.707
_cell_angle_alpha 90.00
_cell_angle_beta 115.57
_cell_angle_gamma 90.00
loop_
_symmetry_equiv_pos_as_xyz
'x,y,z'
'x,-y,z'
'x+1/2,y+1/2,z'
'x+1/2,-y+1/2,z'
loop_
_atom_site_label
_atom_site_type_symbol
_atom_site_fract_x
_atom_site_fract_y
_atom_site_fract_z
Sr1 Sr 0.000 0.000 0.000
Sr2 Sr 0.211 0.000 0.709
Li1 Li 0.282 0.500 0.280
Cr1 Cr 0.455 0.000 0.456